Record 1
Entry from the Alexandria database: an optimized crystal structure of Tb4TlHgN (PBE).

Calculated values
- SG: Cmcm, No. 63
- E_form (uncorrected): -4.9 eV/f.u.

a = 8.2610 Å, b = 8.2610 Å, c = 6.8799 Å
α = 90.00°, β = 90.00°, γ = 130.81°
Last column: nearest neighbours and their distance in Å.
Atoms (fractional coordinates):
Tb 0.0000 0.5000 0.0000  2 N 2.43
Tb 0.0000 0.5000 0.5000  2 N 2.43
Tb 0.0800 0.9200 0.7500  1 N 2.57
Tb 0.4137 0.5863 0.7500  1 N 2.44
Tb 0.5000 0.0000 0.0000  2 N 2.43
Tb 0.5000 0.0000 0.5000  2 N 2.43
Tb 0.5863 0.4137 0.2500  1 N 2.44
Tb 0.9200 0.0800 0.2500  1 N 2.57
Tl 0.3827 0.6173 0.2500  5 Tb 3.06-3.14
Tl 0.6173 0.3827 0.7500  5 Tb 3.06-3.14
Hg 0.1189 0.8811 0.2500  5 Tb 2.99-3.13
Hg 0.8811 0.1189 0.7500  5 Tb 2.99-3.13
N 0.2509 0.7491 0.7500  6 Tb 2.43-2.57
N 0.7491 0.2509 0.2500  6 Tb 2.43-2.57

---

Record 2
Entry from the Alexandria database: an optimized crystal structure of YAlTc2 (PBE).

Calculated values
- DFT formation energy: 0.138 eV per atom
- SG: Cmmm, No. 65

a = 2.8902 Å, b = 2.8902 Å, c = 8.6442 Å
α = 90.00°, β = 90.00°, γ = 108.82°
Last column: nearest neighbours and their distance in Å.
Atoms (fractional coordinates):
Y 0.0000 0.0000 0.0000  4 Y 2.89, 4 Tc 2.92
Al 0.0000 0.0000 0.5000  4 Tc 2.56
Tc 0.5000 0.5000 0.2761  2 Al 2.56
Tc 0.5000 0.5000 0.7239  2 Al 2.56